DyNpCd2O8 | PBE | optimized geometry

Geometry as extended XYZ:
```
12
Lattice="5.264 0.112 -0.003 0.143 4.658 -0.007 0.004 0.005 6.954" Properties=species:S:1:pos:R:3 pbc="T T T"
O 1.612 1.093 6.951
O 2.250 0.708 3.475
O 3.798 3.682 -0.007
O 3.160 4.067 3.469
O 4.566 1.213 1.631
O 0.843 3.560 1.627
O 0.845 3.561 5.313
O 4.567 1.215 5.317
Dy 0.002 0.002 3.477
Cd 2.704 2.386 1.695
Cd 2.706 2.389 5.249
Np 0.000 0.000 0.000
```

- uncorrected formation energy (eV/atom) = -1.9328


Nd8ErSc2 | PBE | optimized geometry

Geometry as extended XYZ:
```
11
Lattice="-2.699 1.577 -4.559 7.284 2.674 -3.388 -1.146 -9.220 0.838" Properties=species:S:1:pos:R:3 pbc="T T T"
Nd 2.292 -4.516 -2.920
Nd -0.658 -5.596 -1.547
Nd -1.649 -6.837 -4.741
Nd 4.098 0.627 -5.561
Nd 3.073 -2.705 -6.107
Nd 0.367 -2.265 -1.001
Nd 1.148 -0.454 -4.188
Nd 5.089 1.867 -2.367
Sc 4.103 -1.524 -2.957
Sc -0.664 -3.446 -4.151
Er -1.349 0.788 -2.279
```

- formation enthalpy at 0 K (kJ/mol of atoms) = 12.0
- D(E_F) (states/eV/f.u.) = 18.39